1.
A plane-wave DFT calculation with PBE-GGA was carried out for ScTlMo2 after structural relaxation.

extended XYZ file:
```
4
Lattice="3.037 0.000 0.000 0.000 4.536 0.000 0.000 0.000 5.797" Properties=species:S:1:pos:R:3 pbc="T T T"
Sc 0.000 0.000 0.000
Tl 0.000 0.000 2.899
Mo 1.518 2.268 1.168
Mo 1.518 2.268 4.630
```

The value obtained for the uncorrected energy is -7.14 eV per atom. Its offset from the most stable computed form is 385 meV per atom. The size of the total moment comes out at 0.00 μB per formula unit. As for the volume: 20.0 Å³/atom. Its formation energy is 449 meV/atom.


2.
A plane-wave DFT calculation with PBE-GGA was carried out for Ta2CdNi after structural relaxation.

extended XYZ file:
```
4
Lattice="-1.994 1.994 4.205 1.994 -1.994 4.205 1.994 1.994 -4.205" Properties=species:S:1:pos:R:3 pbc="T T T"
Ta 1.994 0.000 2.103
Ta 0.000 1.994 2.103
Cd 0.000 0.000 0.000
Ni 0.000 0.000 4.205
```

The value obtained for the uncorrected energy is -7.38 eV per atom. The size of the total moment comes out at 0.00 μB per formula unit. As for the volume: 16.7 Å³/atom. Its formation energy is 218 meV/atom.


3.
A plane-wave DFT calculation with PBE-GGA was carried out for PbI after structural relaxation.

extended XYZ file:
```
4
Lattice="5.797 -2.180 0.000 5.797 2.180 0.000 -1.182 0.000 7.257" Properties=species:S:1:pos:R:3 pbc="T T T"
Pb 0.000 0.000 0.000
Pb 7.235 0.000 6.705
I 3.490 0.000 4.968
I 6.738 0.000 2.188
```

The value obtained for the uncorrected energy is -2.89 eV per atom. The size of the total moment comes out at 0.00 μB per formula unit. The value obtained for the uncorrected formation energy is -0.26 eV/atom. As for the volume: 45.9 Å³/atom.


4.
A plane-wave DFT calculation with PBE-GGA was carried out for Np2GeRu after structural relaxation.

extended XYZ file:
```
4
Lattice="3.735 0.000 0.000 0.000 3.735 0.000 0.000 0.000 5.563" Properties=species:S:1:pos:R:3 pbc="T T T"
Np 0.000 0.000 1.356
Np 0.000 0.000 4.207
Ge 1.867 1.867 0.000
Ru 1.867 1.867 2.781
```

The value obtained for the uncorrected energy is -10.09 eV per atom. The size of the total moment comes out at 6.59 μB per formula unit. As for the volume: 19.4 Å³/atom. Its formation energy is -145 meV/atom.


5.
A plane-wave DFT calculation with PBE-GGA was carried out for TcSbPt2 after structural relaxation.

extended XYZ file:
```
4
Lattice="3.079 0.000 0.000 0.000 3.079 0.000 0.000 0.000 7.208" Properties=species:S:1:pos:R:3 pbc="T T T"
Tc 0.000 0.000 0.000
Sb 1.540 1.540 5.282
Pt 0.000 0.000 3.392
Pt 1.540 1.540 1.537
```

The value obtained for the uncorrected energy is -6.52 eV per atom. The size of the total moment comes out at 0.00 μB per formula unit. The value obtained for the uncorrected formation energy is 0.12 eV/atom. As for the volume: 17.1 Å³/atom.


6.
A plane-wave DFT calculation with PBE-GGA was carried out for Sm6SnP4 after structural relaxation.

extended XYZ file:
```
22
Lattice="2.061 -6.796 0.000 2.061 6.796 0.000 0.000 0.000 21.027" Properties=species:S:1:pos:R:3 pbc="T T T"
Sm 0.000 0.000 0.000
Sm 0.000 0.000 10.514
Sm 2.061 4.581 15.770
Sm 2.061 3.090 1.713
Sm 2.061 3.090 8.800
Sm 2.061 0.553 13.829
Sm 2.061 0.553 17.711
Sm 2.061 -0.553 3.316
Sm 2.061 -0.553 7.198
Sm 2.061 -3.090 12.227
Sm 2.061 -3.090 19.314
Sm 2.061 -4.581 5.257
Sn 2.061 4.587 5.257
Sn 2.061 -4.587 15.770
P 2.061 5.549 13.128
P 2.061 5.549 18.413
P 2.061 1.871 11.380
P 2.061 1.871 20.161
P 2.061 -1.871 0.866
P 2.061 -1.871 9.648
P 2.061 -5.549 2.614
P 2.061 -5.549 7.899
```

The value obtained for the uncorrected energy is -6.24 eV per atom. The size of the total moment comes out at 0.84 μB per formula unit. As for the volume: 26.8 Å³/atom. Its formation energy is -1333 meV/atom.


7.
A plane-wave DFT calculation with PBE-GGA was carried out for Sc2OsC2 after structural relaxation.

extended XYZ file:
```
10
Lattice="5.798 0.000 0.000 0.000 5.798 0.000 0.000 0.000 3.448" Properties=species:S:1:pos:R:3 pbc="T T T"
Sc 1.037 1.862 0.000
Sc 1.862 4.761 0.000
Sc 3.936 1.037 0.000
Sc 4.761 3.936 0.000
Os 0.000 0.000 1.724
Os 2.899 2.899 1.724
C 0.583 3.482 1.724
C 2.316 0.583 1.724
C 3.482 5.215 1.724
C 5.215 2.316 1.724
```

The value obtained for the uncorrected energy is -8.77 eV per atom. The size of the total moment comes out at 0.00 μB per formula unit. As for the volume: 11.6 Å³/atom. Its formation energy is -306 meV/atom.


8.
A plane-wave DFT calculation with PBE-GGA was carried out for TmAgGe after structural relaxation.

extended XYZ file:
```
3
Lattice="4.509 0.000 0.000 -2.255 3.905 0.000 0.000 0.000 3.474" Properties=species:S:1:pos:R:3 pbc="T T T"
Tm 0.000 0.000 0.000
Ag 2.255 1.302 1.735
Ge 0.000 2.603 1.747
```

The value obtained for the uncorrected energy is -4.48 eV per atom. The size of the total moment comes out at 0.00 μB per formula unit. As for the volume: 20.4 Å³/atom. Its formation energy is -500 meV/atom.


Number 1: N(E_F) 3.9 states/eV per cell. Number 2: N(E_F) 3.4 states/eV per cell. Number 3: N(E_F) 1.2 states/eV per cell. Number 4: N(E_F) 9.5 states/eV per cell. Number 5: N(E_F) 4.3 states/eV per cell. Number 6: N(E_F) 7.0 states/eV per cell. Number 7: N(E_F) 1.3 states/eV per cell. Number 8: N(E_F) 1.0 states/eV per cell.